Ho5As4H (PBE, optimized geometry); total DFT energy (no corrections) = -57.20 eV/f.u.; DOS(E_F) = 0.3157 states/eV/atom
1.0
-4.520 4.520 2.863
4.520 -4.520 2.863
4.520 4.520 -2.863
Ho As H
5 4 1
Direct
0.000 0.000 0.000 Ho
0.146 0.350 0.588 Ho
0.350 0.761 0.203 Ho
0.558 0.146 0.797 Ho
0.761 0.558 0.412 Ho
0.054 0.657 0.803 As
0.252 0.054 0.398 As
0.657 0.854 0.602 As
0.854 0.252 0.197 As
0.404 0.404 0.000 H